# 1
Computed, not measured: a relaxed BaMgIr2 crystal at the GGA-PBE level of DFT.

extended XYZ file:
```
4
Lattice="5.085 0.000 0.000 0.000 3.160 0.000 -1.999 0.000 5.073" Properties=species:S:1:pos:R:3 pbc="T T T"
Ba 0.000 0.000 0.000
Mg -0.999 1.580 2.536
Ir 1.543 0.000 2.536
Ir 2.542 1.580 0.000
```

Results
SG	P2/m
energy of formation	51	kJ per mole of atoms
calculated density	11.12	Mg/m³
density of states at the Fermi level	2.88	states/eV per cell

***

# 2
Computed, not measured: a relaxed BaMg2Ir crystal at the GGA-PBE level of DFT.

extended XYZ file:
```
4
Lattice="4.227 0.000 0.000 0.000 4.388 0.000 -2.015 0.000 6.510" Properties=species:S:1:pos:R:3 pbc="T T T"
Ba 0.000 0.000 0.000
Mg 0.001 2.194 3.064
Mg 2.116 0.000 2.844
Ir 2.113 2.194 1.489
```

Results
SG	Pm
energy of formation	-7	kJ per mole of atoms
calculated density	5.20	Mg/m³
density of states at the Fermi level	2.05	states/eV per cell

***

# 3
Computed, not measured: a relaxed Ba2NaMgIr crystal at the GGA-PBE level of DFT.

extended XYZ file:
```
5
Lattice="6.135 0.000 0.000 0.000 6.135 0.000 0.000 0.000 5.240" Properties=species:S:1:pos:R:3 pbc="T T T"
Ba 0.000 3.068 0.000
Ba 3.068 0.000 0.000
Na 0.000 0.000 2.620
Mg 3.068 3.068 2.620
Ir 3.068 3.068 0.000
```

Results
SG	P4/mmm
energy of formation	-9	kJ per mole of atoms
calculated density	4.33	Mg/m³
density of states at the Fermi level	3.40	states/eV per cell

***

# 4
Computed, not measured: a relaxed Ba2MgIr3O12 crystal at the GGA-PBE level of DFT.

extended XYZ file:
```
18
Lattice="3.621 2.091 5.654 -3.621 2.091 5.654 0.000 -4.182 5.654" Properties=species:S:1:pos:R:3 pbc="T T T"
Ba 0.000 0.000 1.915
Ba 0.000 0.000 15.047
Mg 0.000 0.000 8.481
Ir -1.811 -1.045 5.654
Ir -1.811 1.045 11.308
Ir 0.000 2.091 5.654
O -1.634 -0.943 7.518
O 0.000 -1.798 5.488
O -1.557 0.899 5.488
O -1.557 -0.899 11.474
O 0.000 -1.886 9.444
O -1.634 0.943 9.444
O 1.634 -0.943 7.518
O 0.000 1.886 7.518
O 1.557 0.899 5.488
O 1.557 -0.899 11.474
O 0.000 1.798 11.474
O 1.634 0.943 9.444
```

Results
raw formation energy	-1329	meV per atom
SG	R-3m
calculated density	6.90	Mg/m³
density of states at the Fermi level	6.08	states/eV per cell

***

# 5
Computed, not measured: a relaxed Ba6MgIr6O18 crystal at the GGA-PBE level of DFT.

extended XYZ file:
```
31
Lattice="5.667 0.000 0.000 2.796 5.311 0.000 0.310 1.801 14.972" Properties=species:S:1:pos:R:3 pbc="T T T"
Ba 1.510 2.668 3.625
Ba 4.395 6.310 9.149
Ba 4.485 6.170 13.591
Ba 4.287 0.942 1.380
Ba 4.377 0.801 5.823
Ba 7.263 4.444 11.347
Mg 4.386 3.556 7.486
Ir 1.398 2.655 0.000
Ir 1.553 3.556 7.486
Ir 4.261 4.468 2.188
Ir 4.381 4.244 4.943
Ir 4.392 2.868 10.029
Ir 4.512 2.643 12.783
O 3.066 5.182 3.702
O 2.533 3.833 1.242
O 1.404 1.129 1.419
O 2.968 3.950 8.917
O 2.969 3.173 6.058
O 4.399 5.474 6.502
O 3.358 3.582 14.183
O 3.117 2.005 11.390
O 4.451 4.275 11.580
O 4.322 2.837 3.392
O 5.655 5.107 3.581
O 5.414 3.530 0.788
O 4.374 1.637 8.470
O 5.804 3.939 8.913
O 5.805 3.161 6.054
O 7.369 5.982 13.552
O 6.240 3.278 13.729
O 5.707 1.929 11.270
```

Results
raw formation energy	-1565	meV per atom
SG	P-1
calculated density	8.44	Mg/m³
density of states at the Fermi level	21.18	states/eV per cell
polymorph energy (0 for the lowest one)	0.0000	eV per atom

***

# 6
Computed, not measured: a relaxed Ba3MgIr2O9 crystal at the GGA-PBE level of DFT.

extended XYZ file:
```
30
Lattice="5.833 0.000 0.000 -2.916 5.051 0.000 0.000 0.000 14.350" Properties=species:S:1:pos:R:3 pbc="T T T"
Ba 0.000 0.000 3.587
Ba 0.000 0.000 10.762
Ba 0.000 3.368 1.222
Ba 0.000 3.368 5.953
Ba 2.916 1.684 8.397
Ba 2.916 1.684 13.128
Mg 0.000 0.000 0.000
Mg 0.000 0.000 7.175
Ir 0.000 3.368 9.462
Ir 0.000 3.368 12.062
Ir 2.916 1.684 2.287
Ir 2.916 1.684 4.888
O -1.366 2.579 10.762
O 0.000 1.740 8.363
O 0.000 1.740 13.161
O -1.410 4.182 8.363
O -1.410 4.182 13.161
O 1.507 0.870 1.188
O 1.507 0.870 5.986
O 1.366 2.579 10.762
O 0.000 4.944 10.762
O 2.916 0.107 3.587
O 1.551 2.472 3.587
O 1.410 4.182 8.363
O 1.410 4.182 13.161
O 4.326 0.870 1.188
O 4.326 0.870 5.986
O 2.916 3.312 1.188
O 2.916 3.312 5.986
O 4.282 2.472 3.587
```

Results
raw formation energy	-1901	meV per atom
SG	P6_3/mmc
calculated density	7.58	Mg/m³
density of states at the Fermi level	18.20	states/eV per cell
polymorph energy (0 for the lowest one)	0.0000	eV per atom

***

# 7
Computed, not measured: a relaxed Ba6MgIr6O18 crystal at the GGA-PBE level of DFT.

extended XYZ file:
```
31
Lattice="2.909 -4.974 0.000 2.909 4.974 0.000 -0.834 0.000 15.119" Properties=species:S:1:pos:R:3 pbc="T T T"
Ba 0.000 0.000 0.000
Ba 2.055 1.640 10.534
Ba 2.929 1.640 4.585
Ba 2.115 -1.661 12.917
Ba 2.870 -1.661 2.201
Ba 2.492 -4.893 7.559
Mg 2.492 1.759 7.559
Ir 0.013 -0.031 3.791
Ir 2.118 1.645 13.719
Ir 2.867 1.645 1.400
Ir 2.206 -1.659 9.046
Ir 2.778 -1.659 6.073
Ir 4.972 -0.031 11.328
O 0.776 2.365 15.068
O 0.606 0.962 12.464
O 2.656 3.439 2.396
O 1.232 0.873 2.395
O 2.328 3.439 12.723
O 0.389 -0.949 9.888
O 1.703 -1.012 4.467
O 2.909 0.144 0.000
O 4.208 2.365 0.051
O 2.492 -0.133 7.559
O 1.222 -2.353 7.240
O 3.753 0.873 12.724
O 4.379 0.962 2.654
O 1.779 -3.524 9.891
O 3.281 -1.012 10.652
O 4.596 -0.949 5.231
O 3.206 -3.524 5.228
O 3.762 -2.353 7.879
```

Results
raw formation energy	-1491	meV per atom
SG	C2
calculated density	8.69	Mg/m³
density of states at the Fermi level	24.58	states/eV per cell
polymorph energy (0 for the lowest one)	0.0742	eV per atom

***

# 8
Computed, not measured: a relaxed Ba6MgIr6O18 crystal at the GGA-PBE level of DFT.

extended XYZ file:
```
31
Lattice="5.716 0.000 0.000 -2.757 5.169 0.000 -0.492 -0.643 14.983" Properties=species:S:1:pos:R:3 pbc="T T T"
Ba 0.000 0.000 0.000
Ba -0.172 0.148 4.437
Ba -0.003 3.560 2.207
Ba -0.270 3.761 9.459
Ba 2.660 1.995 7.144
Ba 2.512 2.234 11.289
Mg 2.147 0.276 13.271
Ir -0.455 0.133 10.940
Ir -0.253 0.250 8.059
Ir -0.389 2.953 13.392
Ir -0.135 3.667 5.835
Ir 2.731 1.908 3.599
Ir 2.977 1.894 0.774
O -1.753 2.770 5.010
O -1.432 1.834 14.770
O -2.051 4.293 12.604
O -0.530 1.935 11.755
O -0.110 2.174 7.274
O -1.269 4.777 7.114
O 0.927 0.880 9.600
O 1.575 1.193 2.073
O 1.029 2.548 4.580
O 2.571 -0.014 4.414
O -0.220 4.450 14.940
O 1.388 1.952 14.003
O 0.762 4.648 12.061
O 1.516 4.545 6.606
O 2.858 3.425 2.169
O 4.126 1.201 2.309
O 4.102 0.918 9.429
O 2.577 3.841 9.363
```

Results
raw formation energy	-1510	meV per atom
SG	P1
calculated density	8.59	Mg/m³
density of states at the Fermi level	18.43	states/eV per cell
polymorph energy (0 for the lowest one)	0.0553	eV per atom

***

# 9
Computed, not measured: a relaxed Ba6MgIr6O18 crystal at the GGA-PBE level of DFT.

extended XYZ file:
```
31
Lattice="5.782 0.000 0.000 2.853 5.240 0.000 0.096 0.053 15.102" Properties=species:S:1:pos:R:3 pbc="T T T"
Ba 0.000 0.000 0.000
Ba 2.936 4.989 4.573
Ba 2.961 1.922 12.465
Ba 2.984 1.202 6.899
Ba 5.831 4.002 10.366
Ba 5.785 3.345 2.356
Mg 5.877 1.108 8.969
Ir 2.926 3.910 8.270
Ir 2.864 1.734 0.882
Ir 2.930 1.523 3.646
Ir 5.842 3.583 13.819
Ir 5.841 3.187 5.980
Ir 5.869 0.160 11.548
O 1.747 2.552 4.996
O 2.919 3.843 10.192
O 1.450 1.078 10.381
O 1.576 0.879 2.244
O 2.909 3.118 2.413
O 4.411 4.206 12.520
O 4.371 4.116 7.003
O 2.958 0.254 14.599
O 4.340 2.912 0.038
O 5.768 4.904 4.636
O 4.643 2.139 4.668
O 4.146 0.806 2.168
O 4.527 1.119 10.388
O 7.104 4.171 7.217
O 7.257 4.233 12.523
O 5.883 1.670 13.009
O 5.858 1.609 7.135
O 7.184 2.935 0.032
```

Results
raw formation energy	-1509	meV per atom
SG	P1
calculated density	8.31	Mg/m³
density of states at the Fermi level	20.69	states/eV per cell
polymorph energy (0 for the lowest one)	0.0565	eV per atom

***

# 10
Computed, not measured: a relaxed Ba3MgIr2O9 crystal at the GGA-PBE level of DFT.

extended XYZ file:
```
15
Lattice="5.776 0.000 0.000 -2.888 5.002 0.000 0.000 0.000 7.080" Properties=species:S:1:pos:R:3 pbc="T T T"
Ba 0.000 0.000 0.000
Ba 0.000 3.334 4.685
Ba 2.888 1.667 2.394
Mg 0.000 0.000 3.540
Ir 0.000 3.334 1.182
Ir 2.888 1.667 5.898
O -1.444 2.501 0.000
O 0.000 1.725 2.304
O -1.394 4.139 2.304
O 1.494 0.862 4.776
O 2.888 0.000 0.000
O 1.444 2.501 0.000
O 1.394 4.139 2.304
O 4.282 0.862 4.776
O 2.888 3.277 4.776
```

Results
raw formation energy	-1870	meV per atom
SG	P-3m1
calculated density	7.83	Mg/m³
density of states at the Fermi level	8.18	states/eV per cell
polymorph energy (0 for the lowest one)	0.0308	eV per atom

***

# 11
Computed, not measured: a relaxed BaMg2IrO crystal at the GGA-PBE level of DFT.

extended XYZ file:
```
5
Lattice="4.253 0.000 0.000 0.000 4.253 0.000 0.000 0.000 5.383" Properties=species:S:1:pos:R:3 pbc="T T T"
Ba 0.000 0.000 0.000
Mg 0.000 2.126 2.692
Mg 2.126 0.000 2.692
Ir 2.126 2.126 0.000
O 0.000 0.000 2.692
```

Results
raw formation energy	-741	meV per atom
SG	P4/mmm
calculated density	6.72	Mg/m³
density of states at the Fermi level	1.98	states/eV per cell

***

# 12
Computed, not measured: a relaxed Ba3MgIrRuO9 crystal at the GGA-PBE level of DFT.

extended XYZ file:
```
30
Lattice="5.841 0.000 0.000 -2.920 5.058 0.000 0.000 0.000 14.373" Properties=species:S:1:pos:R:3 pbc="T T T"
Ba 0.000 0.000 3.585
Ba 0.000 0.000 10.789
Ba 0.000 3.372 1.241
Ba 0.000 3.372 5.932
Ba 2.920 1.686 8.442
Ba 2.920 1.686 13.132
Mg 0.000 0.000 0.000
Mg 0.000 0.000 7.187
Ir 0.000 3.372 12.110
Ir 2.920 1.686 2.263
Ru 0.000 3.372 9.427
Ru 2.920 1.686 4.947
O -1.339 2.599 10.783
O 0.000 1.732 13.184
O -1.420 4.192 13.184
O 0.000 1.738 8.387
O -1.415 4.189 8.387
O 1.500 0.866 1.189
O 1.505 0.869 5.986
O 1.339 2.599 10.783
O 0.000 4.918 10.783
O 2.920 0.140 3.590
O 1.581 2.459 3.590
O 1.415 4.189 8.387
O 1.420 4.192 13.184
O 4.336 0.869 5.986
O 2.920 3.320 5.986
O 4.341 0.866 1.189
O 2.920 3.326 1.189
O 4.260 2.459 3.590
```

Results
raw formation energy	-1961	meV per atom
SG	P-3m1
calculated density	6.83	Mg/m³
density of states at the Fermi level	9.25	states/eV per cell

***

# 13
Computed, not measured: a relaxed BaMgIr2Os crystal at the GGA-PBE level of DFT.

extended XYZ file:
```
5
Lattice="4.839 0.000 0.000 0.000 4.839 0.000 0.000 0.000 5.697" Properties=species:S:1:pos:R:3 pbc="T T T"
Ba 0.000 0.000 0.000
Mg 2.419 2.419 0.000
Ir 0.000 2.419 2.848
Ir 2.419 0.000 2.848
Os 0.000 0.000 2.848
```

Results
SG	P4/mmm
energy of formation	103	kJ per mole of atoms
calculated density	9.17	Mg/m³
density of states at the Fermi level	4.87	states/eV per cell

***

# 14
Computed, not measured: a relaxed BaMgIrOs2 crystal at the GGA-PBE level of DFT.

extended XYZ file:
```
5
Lattice="4.889 0.000 0.000 0.000 4.889 0.000 0.000 0.000 4.945" Properties=species:S:1:pos:R:3 pbc="T T T"
Ba 0.000 0.000 0.000
Mg 2.444 2.444 0.000
Ir 2.444 2.444 2.472
Os 0.000 2.444 2.472
Os 2.444 0.000 2.472
```

Results
SG	P4/mmm
energy of formation	81	kJ per mole of atoms
calculated density	10.32	Mg/m³
density of states at the Fermi level	3.99	states/eV per cell

***

# 15
Computed, not measured: a relaxed RbBaMg2Ir crystal at the GGA-PBE level of DFT.

extended XYZ file:
```
5
Lattice="5.352 0.000 0.000 0.000 5.352 0.000 0.000 0.000 5.934" Properties=species:S:1:pos:R:3 pbc="T T T"
Rb 0.000 0.000 0.000
Ba 2.676 2.676 0.000
Mg 0.000 2.676 2.967
Mg 2.676 0.000 2.967
Ir 2.676 2.676 2.967
```

Results
SG	P4/mmm
energy of formation	0	kJ per mole of atoms
calculated density	4.53	Mg/m³
density of states at the Fermi level	3.56	states/eV per cell

***

# 16
Computed, not measured: a relaxed BaMg2ReIr crystal at the GGA-PBE level of DFT.

extended XYZ file:
```
5
Lattice="5.048 0.000 0.000 0.000 5.048 0.000 0.000 0.000 5.754" Properties=species:S:1:pos:R:3 pbc="T T T"
Ba 0.000 0.000 0.000
Mg 0.000 2.524 2.877
Mg 2.524 0.000 2.877
Re 2.524 2.524 0.000
Ir 0.000 0.000 2.877
```

Results
SG	P4/mmm
energy of formation	105	kJ per mole of atoms
calculated density	6.39	Mg/m³
density of states at the Fermi level	3.02	states/eV per cell

***

# 17
Computed, not measured: a relaxed BaMg2ScIr crystal at the GGA-PBE level of DFT.

extended XYZ file:
```
5
Lattice="5.263 0.000 0.000 0.000 5.263 0.000 0.000 0.000 5.008" Properties=species:S:1:pos:R:3 pbc="T T T"
Ba 0.000 0.000 0.000
Mg 0.000 2.632 2.504
Mg 2.632 0.000 2.504
Sc 2.632 2.632 0.000
Ir 2.632 2.632 2.504
```

Results
SG	P4/mmm
energy of formation	-28	kJ per mole of atoms
calculated density	5.06	Mg/m³
density of states at the Fermi level	3.50	states/eV per cell

***

# 18
Computed, not measured: a relaxed BaMg2SiIr2 crystal at the GGA-PBE level of DFT.

extended XYZ file:
```
6
Lattice="4.603 0.000 0.000 0.000 4.603 0.000 0.000 0.000 6.565" Properties=species:S:1:pos:R:3 pbc="T T T"
Ba 0.000 0.000 0.000
Mg 2.301 2.301 1.735
Mg 2.301 2.301 4.829
Si 0.000 0.000 3.282
Ir 0.000 2.301 3.282
Ir 2.301 0.000 3.282
```

Results
raw formation energy	-316	meV per atom
SG	P4/mmm
calculated density	7.15	Mg/m³
density of states at the Fermi level	5.26	states/eV per cell